This record from Alexandria describes PmNd2Ho5 after structural relaxation. The functional is PBE.

The structure in extended XYZ format:
```
16
Lattice="8.1551 -4.9606 0.0000 8.1551 4.9606 0.0000 -0.9137 0.0000 6.4511" Properties=species:S:1:pos:R:3 pbc="T T T"
Pm 4.0775 2.4803 0.0000
Pm 3.6207 -2.4803 3.2255
Nd 6.0796 2.5139 5.7117
Nd 8.8599 2.5139 3.9649
Nd 6.5365 -2.5139 2.4862
Nd 9.3168 -2.5139 0.7394
Ho 1.0300 0.8791 4.1544
Ho 1.4869 -0.8791 0.9288
Ho 4.5088 0.8867 3.0739
Ho 4.0519 -0.8867 6.2994
Ho 7.9266 0.5768 1.6128
Ho 7.4698 -0.5768 4.8383
Ho 11.3445 0.8867 0.1516
Ho 10.8876 -0.8867 3.3772
Ho 13.9096 0.8791 5.5222
Ho 14.3664 -0.8791 2.2967
```

Output
ΔE_f = 0.17 eV per atom
electronic total energy = -71.60 eV per cell
ΔE to the lowest computed polymorph = 0.153 eV per atom

=====

This record from Alexandria describes PmNd7Ho4 after structural relaxation. The functional is PBE.

The structure in extended XYZ format:
```
12
Lattice="8.0993 -3.0118 0.0000 8.0993 3.0118 0.0000 -4.2704 0.0000 8.4695" Properties=species:S:1:pos:R:3 pbc="T T T"
Pm 0.0000 0.0000 0.0000
Nd -0.5310 0.0000 3.8195
Nd 2.4300 0.0000 2.0290
Nd -0.3103 0.0000 7.4931
Nd 8.0993 0.0000 0.0000
Nd 12.2386 0.0000 0.9764
Nd 9.4982 0.0000 6.4405
Nd 12.4593 0.0000 4.6501
Ho 2.7139 0.0000 5.2360
Ho 5.6658 0.0000 2.5553
Ho 6.2624 0.0000 5.9142
Ho 9.2144 0.0000 3.2336
```

Output
ΔE_f = 0.20 eV per atom
electronic total energy = -53.98 eV per cell
ΔE to the lowest computed polymorph = 0.201 eV per atom

=====

This record from Alexandria describes Pm2Nd8Ho3 after structural relaxation. The functional is PBE.

The structure in extended XYZ format:
```
13
Lattice="5.7280 0.0000 0.0000 0.0001 7.7250 0.0000 0.0026 3.8616 10.3452" Properties=species:S:1:pos:R:3 pbc="T T T"
Pm 0.0050 3.8541 4.9653
Pm 5.7257 7.7325 5.3799
Nd 5.7280 1.5768 2.1508
Nd 0.0026 5.4477 8.1879
Nd 5.7281 6.1388 2.1573
Nd 0.0027 10.0097 8.1944
Nd 2.8684 3.8608 6.8042
Nd 2.8664 3.8602 2.6910
Nd 2.8643 7.7263 7.6542
Nd 2.8624 7.7258 3.5410
Ho 0.0001 3.8625 0.0000
Ho 2.8667 5.5220 10.3427
Ho 2.8640 6.0645 0.0024
```

Output
ΔE_f = 0.20 eV per atom
electronic total energy = -58.76 eV per cell
ΔE to the lowest computed polymorph = 0.041 eV per atom

=====

This record from Alexandria describes PmNd4Ho7 after structural relaxation. The functional is PBE.

The structure in extended XYZ format:
```
12
Lattice="6.0745 -2.9584 0.0000 6.0745 2.9584 0.0000 -6.0038 0.0000 11.3186" Properties=species:S:1:pos:R:3 pbc="T T T"
Pm 0.0000 0.0000 0.0000
Nd -1.2577 0.0000 7.5760
Nd 3.0802 0.0000 2.5250
Nd 3.0651 0.0000 8.7936
Nd 7.4030 0.0000 3.7427
Ho -1.0757 0.0000 3.5816
Ho -2.9804 0.0000 10.4488
Ho 1.4436 0.0000 5.7003
Ho 6.0745 0.0000 0.0000
Ho 4.7016 0.0000 5.6184
Ho 9.1256 0.0000 0.8698
Ho 7.2210 0.0000 7.7370
```

Output
ΔE_f = 0.26 eV per atom
electronic total energy = -52.78 eV per cell
ΔE to the lowest computed polymorph = 0.172 eV per atom

=====

This record from Alexandria describes PmNd2Ho7 after structural relaxation. The functional is PBE.

The structure in extended XYZ format:
```
10
Lattice="6.1648 0.0000 0.0000 2.0233 6.8337 0.0000 2.0572 1.2635 7.6131" Properties=species:S:1:pos:R:3 pbc="T T T"
Pm 0.0000 0.0000 0.0000
Nd 4.0960 6.2089 4.5713
Nd 6.1492 1.8883 3.0419
Ho 1.0116 3.4168 0.0000
Ho 3.0722 2.8145 4.5747
Ho 3.0770 0.9410 1.5134
Ho 4.0889 4.3478 1.5100
Ho 6.1563 3.7494 6.1031
Ho 7.1682 7.1561 6.0997
Ho 7.1731 5.2827 3.0384
```

Output
ΔE_f = 0.02 eV per atom
electronic total energy = -46.14 eV per cell
ΔE to the lowest computed polymorph = 0.000 eV per atom

=====

This record from Alexandria describes Pm4Nd3Ho8 after structural relaxation. The functional is PBE.

The structure in extended XYZ format:
```
15
Lattice="6.7382 -6.4374 0.0000 6.7382 6.4374 0.0000 -3.4162 0.0000 5.8631" Properties=species:S:1:pos:R:3 pbc="T T T"
Pm 0.0000 0.0000 0.0000
Pm -1.7081 0.0000 2.9316
Pm 3.3691 3.2187 0.0000
Pm 3.3691 -3.2187 0.0000
Nd 1.6610 3.2187 2.9316
Nd 1.6610 -3.2187 2.9316
Nd 6.7382 0.0000 0.0000
Ho 6.7382 3.1411 0.0000
Ho 3.5074 0.0000 0.1512
Ho 1.8851 0.0000 2.9602
Ho 5.0301 1.8001 2.9316
Ho 5.0301 -1.8001 2.9316
Ho 8.1751 0.0000 2.9029
Ho 6.5527 0.0000 5.7119
Ho 6.7382 -3.1411 0.0000
```

Output
ΔE_f = 0.36 eV per atom
electronic total energy = -64.47 eV per cell

=====

Which value of ΔE_f does entry 1 give? 0.17 eV per atom